No. 1
A plane-wave DFT calculation with GGA-PBE was carried out for crystalline SmScGaIr at its relaxed geometry.

abc: 4.877 4.877 4.877
angles: 60.00 60.00 60.00
Fractional coordinates of all 4 atoms:
Sm (0.000, 0.000, 0.000)
Sc (0.500, 0.500, 0.500)
Ga (0.250, 0.250, 0.250)
Ir (0.750, 0.750, 0.750)

Properties
formation energy from the elements = -0.621 eV per atom
uncorrected energy = -6.356 eV/atom
theoretical density = 9.3 Mg/m³

***

No. 2
A plane-wave DFT calculation with GGA-PBE was carried out for crystalline SmScGa2Ir2 at its relaxed geometry.

abc: 4.405 4.405 6.754
angles: 90.00 90.00 120.00
Fractional coordinates of all 6 atoms:
Sm (0.000, 0.000, 0.000)
Sc (0.000, 0.000, 0.500)
Ga (0.333, 0.667, 0.292)
Ga (0.667, 0.333, 0.708)
Ir (0.333, 0.667, 0.712)
Ir (0.667, 0.333, 0.288)

Properties
formation energy from the elements = -0.798 eV per atom
uncorrected energy = -6.602 eV/atom
theoretical density = 10.5 Mg/m³

***

No. 3
A plane-wave DFT calculation with GGA-PBE was carried out for crystalline ScGa2SnIr at its relaxed geometry.

abc: 5.214 5.214 4.721
angles: 90.00 90.00 90.00
Fractional coordinates of all 5 atoms:
Sc (0.000, 0.000, 0.000)
Ga (0.000, 0.500, 0.000)
Ga (0.500, 0.000, 0.000)
Sn (0.500, 0.500, 0.500)
Ir (0.000, 0.000, 0.500)

Properties
formation energy from the elements = 0.636 eV per atom
uncorrected energy = -4.414 eV/atom
theoretical density = 6.4 Mg/m³

***

No. 4
A plane-wave DFT calculation with GGA-PBE was carried out for crystalline Sc2TaGa2Ir5 at its relaxed geometry.

abc: 9.472 9.472 3.655
angles: 90.00 90.00 90.00
Fractional coordinates of all 20 atoms:
Sc (0.172, 0.328, 0.000)
Sc (0.328, 0.828, 0.000)
Sc (0.672, 0.172, 0.000)
Sc (0.828, 0.672, 0.000)
Ta (0.000, 0.000, 0.000)
Ta (0.500, 0.500, 0.000)
Ga (0.126, 0.626, 0.000)
Ga (0.374, 0.126, 0.000)
Ga (0.626, 0.874, 0.000)
Ga (0.874, 0.374, 0.000)
Ir (0.000, 0.500, 0.500)
Ir (0.068, 0.798, 0.500)
Ir (0.202, 0.068, 0.500)
Ir (0.298, 0.568, 0.500)
Ir (0.432, 0.298, 0.500)
Ir (0.500, 0.000, 0.500)
Ir (0.568, 0.702, 0.500)
Ir (0.702, 0.432, 0.500)
Ir (0.798, 0.932, 0.500)
Ir (0.932, 0.202, 0.500)

Properties
formation energy from the elements = -0.697 eV per atom
uncorrected energy = -8.184 eV/atom
theoretical density = 13.9 Mg/m³

***

No. 5
A plane-wave DFT calculation with GGA-PBE was carried out for crystalline TbScGaIr at its relaxed geometry.

abc: 4.828 4.828 4.828
angles: 60.00 60.00 60.00
Fractional coordinates of all 4 atoms:
Tb (0.000, 0.000, 0.000)
Sc (0.500, 0.500, 0.500)
Ga (0.250, 0.250, 0.250)
Ir (0.750, 0.750, 0.750)

Properties
formation energy from the elements = -0.690 eV per atom
uncorrected energy = -6.402 eV/atom
theoretical density = 9.7 Mg/m³

***

No. 6
A plane-wave DFT calculation with GGA-PBE was carried out for crystalline TbScGa2Ir2 at its relaxed geometry.

abc: 4.402 4.402 6.596
angles: 90.00 90.00 120.00
Fractional coordinates of all 6 atoms:
Tb (0.000, 0.000, 0.000)
Sc (0.000, 0.000, 0.500)
Ga (0.333, 0.667, 0.286)
Ga (0.667, 0.333, 0.714)
Ir (0.333, 0.667, 0.720)
Ir (0.667, 0.333, 0.280)

Properties
formation energy from the elements = -0.813 eV per atom
uncorrected energy = -6.602 eV/atom
theoretical density = 10.9 Mg/m³

***

No. 7
A plane-wave DFT calculation with GGA-PBE was carried out for crystalline ScGa2TcIr at its relaxed geometry.

abc: 4.860 4.860 4.403
angles: 90.00 90.00 90.00
Fractional coordinates of all 5 atoms:
Sc (0.000, 0.000, 0.000)
Ga (0.000, 0.500, 0.000)
Ga (0.500, 0.000, 0.000)
Tc (0.000, 0.000, 0.500)
Ir (0.500, 0.500, 0.500)

Properties
formation energy from the elements = 1.517 eV per atom
uncorrected energy = -4.806 eV/atom
theoretical density = 7.6 Mg/m³

***

No. 8
A plane-wave DFT calculation with GGA-PBE was carried out for crystalline Sc2TiGa2Ir5 at its relaxed geometry.

abc: 9.556 9.556 3.542
angles: 90.00 90.00 90.00
Fractional coordinates of all 20 atoms:
Sc (0.171, 0.329, 0.000)
Sc (0.329, 0.829, 0.000)
Sc (0.671, 0.171, 0.000)
Sc (0.829, 0.671, 0.000)
Ti (0.000, 0.000, 0.000)
Ti (0.500, 0.500, 0.000)
Ga (0.129, 0.629, 0.000)
Ga (0.371, 0.129, 0.000)
Ga (0.629, 0.871, 0.000)
Ga (0.871, 0.371, 0.000)
Ir (0.000, 0.500, 0.500)
Ir (0.066, 0.800, 0.500)
Ir (0.200, 0.066, 0.500)
Ir (0.300, 0.566, 0.500)
Ir (0.434, 0.300, 0.500)
Ir (0.500, 0.000, 0.500)
Ir (0.566, 0.700, 0.500)
Ir (0.700, 0.434, 0.500)
Ir (0.800, 0.934, 0.500)
Ir (0.934, 0.200, 0.500)

Properties
formation energy from the elements = -0.712 eV per atom
uncorrected energy = -7.803 eV/atom
theoretical density = 12.7 Mg/m³

***

No. 9
A plane-wave DFT calculation with GGA-PBE was carried out for crystalline TmScGaIr at its relaxed geometry.

abc: 4.778 4.778 4.778
angles: 60.00 60.00 60.00
Fractional coordinates of all 4 atoms:
Tm (0.000, 0.000, 0.000)
Sc (0.500, 0.500, 0.500)
Ga (0.750, 0.750, 0.750)
Ir (0.250, 0.250, 0.250)

Properties
formation energy from the elements = -0.745 eV per atom
uncorrected energy = -6.417 eV/atom
theoretical density = 10.2 Mg/m³
ΔE to the lowest computed polymorph = 52 meV/atom

***

No. 10
A plane-wave DFT calculation with GGA-PBE was carried out for crystalline TmScGaIr at its relaxed geometry.

abc: 3.396 3.396 6.730
angles: 90.00 90.00 90.00
Fractional coordinates of all 4 atoms:
Tm (0.000, 0.000, 0.000)
Sc (0.000, 0.000, 0.468)
Ga (0.500, 0.500, 0.711)
Ir (0.500, 0.500, 0.254)

Properties
formation energy from the elements = -0.797 eV per atom
uncorrected energy = -6.469 eV/atom
theoretical density = 10.2 Mg/m³
ΔE to the lowest computed polymorph = 0 meV/atom

***

No. 11
A plane-wave DFT calculation with GGA-PBE was carried out for crystalline TmSc2GaIr4 at its relaxed geometry.

abc: 7.918 7.918 7.918
angles: 33.44 33.44 33.44
Fractional coordinates of all 8 atoms:
Tm (0.000, 0.000, 0.000)
Sc (0.246, 0.246, 0.246)
Sc (0.754, 0.754, 0.754)
Ga (0.500, 0.500, 0.500)
Ir (0.127, 0.127, 0.127)
Ir (0.379, 0.379, 0.379)
Ir (0.621, 0.621, 0.621)
Ir (0.873, 0.873, 0.873)

Properties
formation energy from the elements = -0.833 eV per atom
uncorrected energy = -7.783 eV/atom
theoretical density = 13.6 Mg/m³

***

No. 12
A plane-wave DFT calculation with GGA-PBE was carried out for crystalline Y2ScGa3Ir4 at its relaxed geometry.

abc: 4.155 4.155 10.970
angles: 90.00 90.00 90.00
Fractional coordinates of all 10 atoms:
Y (0.000, 0.500, 0.227)
Y (0.500, 0.000, 0.773)
Sc (0.000, 0.000, 0.500)
Ga (0.000, 0.500, 0.875)
Ga (0.500, 0.000, 0.125)
Ga (0.500, 0.500, 0.500)
Ir (0.000, 0.000, 0.000)
Ir (0.000, 0.500, 0.649)
Ir (0.500, 0.000, 0.351)
Ir (0.500, 0.500, 0.000)

Properties
formation energy from the elements = -0.758 eV per atom
uncorrected energy = -7.136 eV/atom
theoretical density = 10.5 Mg/m³

***

No. 13
A plane-wave DFT calculation with GGA-PBE was carried out for crystalline ScZnGaIr at its relaxed geometry.

abc: 4.438 4.438 4.438
angles: 60.00 60.00 60.00
Fractional coordinates of all 4 atoms:
Sc (0.000, 0.000, 0.000)
Zn (0.750, 0.750, 0.750)
Ga (0.250, 0.250, 0.250)
Ir (0.500, 0.500, 0.500)

Properties
formation energy from the elements = -0.596 eV per atom
uncorrected energy = -5.469 eV/atom
theoretical density = 10.0 Mg/m³

***

No. 14
A plane-wave DFT calculation with GGA-PBE was carried out for crystalline Sc2ZnGa2Ir5 at its relaxed geometry.

abc: 9.415 9.415 3.605
angles: 90.00 90.00 90.00
Fractional coordinates of all 20 atoms:
Sc (0.171, 0.329, 0.000)
Sc (0.329, 0.829, 0.000)
Sc (0.671, 0.171, 0.000)
Sc (0.829, 0.671, 0.000)
Zn (0.000, 0.000, 0.000)
Zn (0.500, 0.500, 0.000)
Ga (0.129, 0.629, 0.000)
Ga (0.371, 0.129, 0.000)
Ga (0.629, 0.871, 0.000)
Ga (0.871, 0.371, 0.000)
Ir (0.000, 0.500, 0.500)
Ir (0.067, 0.801, 0.500)
Ir (0.199, 0.067, 0.500)
Ir (0.301, 0.567, 0.500)
Ir (0.433, 0.301, 0.500)
Ir (0.500, 0.000, 0.500)
Ir (0.567, 0.699, 0.500)
Ir (0.699, 0.433, 0.500)
Ir (0.801, 0.933, 0.500)
Ir (0.933, 0.199, 0.500)

Properties
formation energy from the elements = -0.535 eV per atom
uncorrected energy = -6.964 eV/atom
theoretical density = 13.1 Mg/m³

***

No. 15
A plane-wave DFT calculation with GGA-PBE was carried out for crystalline Sc4Zn2GaIr at its relaxed geometry.

abc: 8.113 8.113 8.113
angles: 33.58 33.58 33.58
Fractional coordinates of all 8 atoms:
Sc (0.122, 0.122, 0.122)
Sc (0.372, 0.372, 0.372)
Sc (0.628, 0.628, 0.628)
Sc (0.878, 0.878, 0.878)
Zn (0.249, 0.249, 0.249)
Zn (0.751, 0.751, 0.751)
Ga (0.500, 0.500, 0.500)
Ir (0.000, 0.000, 0.000)

Properties
formation energy from the elements = -0.637 eV per atom
uncorrected energy = -5.607 eV/atom
theoretical density = 6.5 Mg/m³

***

No. 16
A plane-wave DFT calculation with GGA-PBE was carried out for crystalline ZrScGaIr at its relaxed geometry.

abc: 4.696 4.696 4.696
angles: 60.00 60.00 60.00
Fractional coordinates of all 4 atoms:
Zr (0.000, 0.000, 0.000)
Sc (0.500, 0.500, 0.500)
Ga (0.750, 0.750, 0.750)
Ir (0.250, 0.250, 0.250)

Properties
formation energy from the elements = -0.678 eV per atom
uncorrected energy = -7.370 eV/atom
theoretical density = 9.0 Mg/m³
ΔE to the lowest computed polymorph = 48 meV/atom

***

No. 17
A plane-wave DFT calculation with GGA-PBE was carried out for crystalline ZrScGaIr at its relaxed geometry.

abc: 3.336 3.336 6.564
angles: 90.00 90.00 90.00
Fractional coordinates of all 4 atoms:
Zr (0.000, 0.000, 0.000)
Sc (0.000, 0.000, 0.522)
Ga (0.500, 0.500, 0.267)
Ir (0.500, 0.500, 0.753)

Properties
formation energy from the elements = -0.726 eV per atom
uncorrected energy = -7.418 eV/atom
theoretical density = 9.1 Mg/m³
ΔE to the lowest computed polymorph = 0 meV/atom

***

No. 18
A plane-wave DFT calculation with GGA-PBE was carried out for crystalline GaIr2Se at its relaxed geometry.

abc: 4.434 4.434 4.434
angles: 60.00 60.00 60.00
Fractional coordinates of all 4 atoms:
Ga (0.000, 0.000, 0.000)
Ir (0.250, 0.250, 0.250)
Ir (0.750, 0.750, 0.750)
Se (0.500, 0.500, 0.500)

Properties
uncorrected energy = -5.785 eV/atom
theoretical density = 14.4 Mg/m³
ΔE_f (raw) = 0.2736 eV/atom

***

No. 19
A plane-wave DFT calculation with GGA-PBE was carried out for crystalline Ga2Ir2Se at its relaxed geometry.

abc: 7.386 7.386 2.917
angles: 90.00 90.00 90.00
Fractional coordinates of all 10 atoms:
Ga (0.138, 0.362, 0.000)
Ga (0.362, 0.862, 0.000)
Ga (0.638, 0.138, 0.000)
Ga (0.862, 0.638, 0.000)
Ir (0.160, 0.660, 0.500)
Ir (0.340, 0.160, 0.500)
Ir (0.660, 0.840, 0.500)
Ir (0.840, 0.340, 0.500)
Se (0.000, 0.000, 0.500)
Se (0.500, 0.500, 0.500)

Properties
uncorrected energy = -5.644 eV/atom
theoretical density = 12.6 Mg/m³
ΔE_f (raw) = -0.1922 eV/atom

***

No. 20
A plane-wave DFT calculation with GGA-PBE was carried out for crystalline GaIrSe2 at its relaxed geometry.

abc: 8.456 8.456 8.456
angles: 25.68 25.68 25.68
Fractional coordinates of all 4 atoms:
Ga (0.000, 0.000, 0.000)
Ir (0.500, 0.500, 0.500)
Se (0.116, 0.116, 0.116)
Se (0.884, 0.884, 0.884)

Properties
uncorrected energy = -4.811 eV/atom
theoretical density = 7.0 Mg/m³
ΔE_f (raw) = -0.0969 eV/atom